# LiPmAl4Pd2 PBE optimized geometry
data_LiPmAl4Pd2
_chemical_formula_sum 'Li1 Pm1 Al4 Pd2'
_cell_length_a 9.195
_cell_length_b 9.195
_cell_length_c 9.195
_cell_angle_alpha 26.93
_cell_angle_beta 26.93
_cell_angle_gamma 26.93
_symmetry_space_group_name_H-M 'P 1'
_symmetry_Int_Tables_number 1
loop_
_symmetry_equiv_pos_as_xyz
'x,y,z'
loop_
_atom_site_label
_atom_site_fract_x
_atom_site_fract_y
_atom_site_fract_z
Li1 0.000 0.000 0.000
Pm1 0.500 0.500 0.500
Al1 0.096 0.096 0.096
Al2 0.369 0.369 0.369
Al3 0.631 0.631 0.631
Al4 0.904 0.904 0.904
Pd1 0.268 0.268 0.268
Pd2 0.732 0.732 0.732
# - Total magnetization: 0.000 μB/atom
# - Space group: R-3m (166)
# - Energy of formation: -654 meV per atom
# - DOS at the Fermi energy: 3.00 states/eV/cell

# LiPmAlPd3 PBE optimized geometry
data_LiPmAlPd3
_chemical_formula_sum 'Li2 Pm2 Al2 Pd6'
_cell_length_a 6.946
_cell_length_b 6.946
_cell_length_c 5.917
_cell_angle_alpha 90.00
_cell_angle_beta 90.00
_cell_angle_gamma 131.15
_symmetry_space_group_name_H-M 'P 1'
_symmetry_Int_Tables_number 1
loop_
_symmetry_equiv_pos_as_xyz
'x,y,z'
loop_
_atom_site_label
_atom_site_fract_x
_atom_site_fract_y
_atom_site_fract_z
Li1 0.108 0.892 0.750
Li2 0.892 0.108 0.250
Pm1 0.324 0.676 0.750
Pm2 0.676 0.324 0.250
Al1 0.382 0.618 0.250
Al2 0.618 0.382 0.750
Pd1 0.181 0.819 0.250
Pd2 0.246 0.246 0.000
Pd3 0.246 0.246 0.500
Pd4 0.754 0.754 0.000
Pd5 0.754 0.754 0.500
Pd6 0.819 0.181 0.750
# - Total magnetization: 0.000 μB/atom
# - Space group: Cmcm (63)
# - Energy of formation: -589 meV per atom
# - DOS at the Fermi energy: 6.10 states/eV/cell

# LiPm2Al3Pd4 PBE optimized geometry
data_LiPm2Al3Pd4
_chemical_formula_sum 'Li1 Pm2 Al3 Pd4'
_cell_length_a 4.311
_cell_length_b 4.311
_cell_length_c 10.283
_cell_angle_alpha 90.00
_cell_angle_beta 90.00
_cell_angle_gamma 90.00
_symmetry_space_group_name_H-M 'P 1'
_symmetry_Int_Tables_number 1
loop_
_symmetry_equiv_pos_as_xyz
'x,y,z'
loop_
_atom_site_label
_atom_site_fract_x
_atom_site_fract_y
_atom_site_fract_z
Li1 0.000 0.000 0.000
Pm1 0.000 0.500 0.747
Pm2 0.500 0.000 0.253
Al1 0.000 0.500 0.374
Al2 0.500 0.000 0.626
Al3 0.500 0.500 0.000
Pd1 0.000 0.000 0.500
Pd2 0.000 0.500 0.131
Pd3 0.500 0.000 0.869
Pd4 0.500 0.500 0.500
# - Total magnetization: 0.000 μB/atom
# - Space group: P-4m2 (115)
# - Energy of formation: -788 meV per atom
# - DOS at the Fermi energy: 4.83 states/eV/cell

# Li2PmAlPd4 PBE optimized geometry
data_Li2PmAlPd4
_chemical_formula_sum 'Li2 Pm1 Al1 Pd4'
_cell_length_a 8.307
_cell_length_b 8.307
_cell_length_c 8.307
_cell_angle_alpha 30.69
_cell_angle_beta 30.69
_cell_angle_gamma 30.69
_symmetry_space_group_name_H-M 'P 1'
_symmetry_Int_Tables_number 1
loop_
_symmetry_equiv_pos_as_xyz
'x,y,z'
loop_
_atom_site_label
_atom_site_fract_x
_atom_site_fract_y
_atom_site_fract_z
Li1 0.240 0.240 0.240
Li2 0.760 0.760 0.760
Pm1 0.000 0.000 0.000
Al1 0.500 0.500 0.500
Pd1 0.131 0.131 0.131
Pd2 0.395 0.395 0.395
Pd3 0.605 0.605 0.605
Pd4 0.869 0.869 0.869
# - Total magnetization: 0.000 μB/atom
# - Space group: R-3m (166)
# - Energy of formation: -683 meV per atom
# - DOS at the Fermi energy: 3.64 states/eV/cell

# LiPmAl2Pd4 PBE optimized geometry
data_LiPmAl2Pd4
_chemical_formula_sum 'Li1 Pm1 Al2 Pd4'
_cell_length_a 8.819
_cell_length_b 8.819
_cell_length_c 8.819
_cell_angle_alpha 28.25
_cell_angle_beta 28.25
_cell_angle_gamma 28.25
_symmetry_space_group_name_H-M 'P 1'
_symmetry_Int_Tables_number 1
loop_
_symmetry_equiv_pos_as_xyz
'x,y,z'
loop_
_atom_site_label
_atom_site_fract_x
_atom_site_fract_y
_atom_site_fract_z
Li1 0.000 0.000 0.000
Pm1 0.500 0.500 0.500
Al1 0.265 0.265 0.265
Al2 0.735 0.735 0.735
Pd1 0.097 0.097 0.097
Pd2 0.369 0.369 0.369
Pd3 0.631 0.631 0.631
Pd4 0.903 0.903 0.903
# - Total magnetization: 0.000 μB/atom
# - Space group: R-3m (166)
# - Energy of formation: -818 meV per atom
# - DOS at the Fermi energy: 3.50 states/eV/cell

# LiPr2Al2Pd5 PBE optimized geometry
data_LiPr2Al2Pd5
_chemical_formula_sum 'Li2 Pr4 Al4 Pd10'
_cell_length_a 10.579
_cell_length_b 10.579
_cell_length_c 3.350
_cell_angle_alpha 90.00
_cell_angle_beta 90.00
_cell_angle_gamma 90.00
_symmetry_space_group_name_H-M 'P 1'
_symmetry_Int_Tables_number 1
loop_
_symmetry_equiv_pos_as_xyz
'x,y,z'
loop_
_atom_site_label
_atom_site_fract_x
_atom_site_fract_y
_atom_site_fract_z
Li1 0.000 0.000 0.000
Li2 0.500 0.500 0.000
Pr1 0.175 0.325 0.000
Pr2 0.325 0.825 0.000
Pr3 0.675 0.175 0.000
Pr4 0.825 0.675 0.000
Al1 0.126 0.626 0.000
Al2 0.374 0.126 0.000
Al3 0.626 0.874 0.000
Al4 0.874 0.374 0.000
Pd1 0.000 0.500 0.500
Pd2 0.059 0.797 0.500
Pd3 0.203 0.059 0.500
Pd4 0.297 0.559 0.500
Pd5 0.441 0.297 0.500
Pd6 0.500 0.000 0.500
Pd7 0.559 0.703 0.500
Pd8 0.703 0.441 0.500
Pd9 0.797 0.941 0.500
Pd10 0.941 0.203 0.500
# - Total magnetization: 0.000 μB/atom
# - Space group: P4/mbm (127)
# - Energy of formation: -650 meV per atom
# - DOS at the Fermi energy: 11.96 states/eV/cell

Copy entry 6 word for word.
# LiPr2Al2Pd5 PBE optimized geometry
data_LiPr2Al2Pd5
_chemical_formula_sum 'Li2 Pr4 Al4 Pd10'
_cell_length_a 10.579
_cell_length_b 10.579
_cell_length_c 3.350
_cell_angle_alpha 90.00
_cell_angle_beta 90.00
_cell_angle_gamma 90.00
_symmetry_space_group_name_H-M 'P 1'
_symmetry_Int_Tables_number 1
loop_
_symmetry_equiv_pos_as_xyz
'x,y,z'
loop_
_atom_site_label
_atom_site_fract_x
_atom_site_fract_y
_atom_site_fract_z
Li1 0.000 0.000 0.000
Li2 0.500 0.500 0.000
Pr1 0.175 0.325 0.000
Pr2 0.325 0.825 0.000
Pr3 0.675 0.175 0.000
Pr4 0.825 0.675 0.000
Al1 0.126 0.626 0.000
Al2 0.374 0.126 0.000
Al3 0.626 0.874 0.000
Al4 0.874 0.374 0.000
Pd1 0.000 0.500 0.500
Pd2 0.059 0.797 0.500
Pd3 0.203 0.059 0.500
Pd4 0.297 0.559 0.500
Pd5 0.441 0.297 0.500
Pd6 0.500 0.000 0.500
Pd7 0.559 0.703 0.500
Pd8 0.703 0.441 0.500
Pd9 0.797 0.941 0.500
Pd10 0.941 0.203 0.500
# - Total magnetization: 0.000 μB/atom
# - Space group: P4/mbm (127)
# - Energy of formation: -650 meV per atom
# - DOS at the Fermi energy: 11.96 states/eV/cell

What did the first record say?
# LiPmAl4Pd2 PBE optimized geometry
data_LiPmAl4Pd2
_chemical_formula_sum 'Li1 Pm1 Al4 Pd2'
_cell_length_a 9.195
_cell_length_b 9.195
_cell_length_c 9.195
_cell_angle_alpha 26.93
_cell_angle_beta 26.93
_cell_angle_gamma 26.93
_symmetry_space_group_name_H-M 'P 1'
_symmetry_Int_Tables_number 1
loop_
_symmetry_equiv_pos_as_xyz
'x,y,z'
loop_
_atom_site_label
_atom_site_fract_x
_atom_site_fract_y
_atom_site_fract_z
Li1 0.000 0.000 0.000
Pm1 0.500 0.500 0.500
Al1 0.096 0.096 0.096
Al2 0.369 0.369 0.369
Al3 0.631 0.631 0.631
Al4 0.904 0.904 0.904
Pd1 0.268 0.268 0.268
Pd2 0.732 0.732 0.732
# - Total magnetization: 0.000 μB/atom
# - Space group: R-3m (166)
# - Energy of formation: -654 meV per atom
# - DOS at the Fermi energy: 3.00 states/eV/cell